Entry from OQMD: HfInMo2 after structural relaxation (PBE-GGA).

abc: 4.6873 4.6873 4.6873
angles: 60.00 60.00 60.00
Element x y z (fractional)
Mo  0.7500  0.7500  0.7500
Mo  0.0000  0.0000  0.0000
Hf  0.2500  0.2500  0.2500
In  0.5000  0.5000  0.5000

Computed properties:
The value obtained for the total energy is -8.430 eV per atom. As for the crystal system: cubic.

Entry from OQMD: Hf2InMo after structural relaxation (PBE-GGA).

abc: 4.8081 4.8081 4.8081
angles: 60.00 60.00 60.00
Each line ends with the local moment (μB).
Element x y z (fractional)
In  0.5000  0.5000  0.5000  0.00
Hf  0.7500  0.7500  0.7500  -0.02
Hf  0.0000  0.0000  0.0000  0.04
Mo  0.2500  0.2500  0.2500  0.28

Computed properties:
The value obtained for the total energy is -8.233 eV per atom. As for the crystal system: cubic.